1.
This record from Alexandria via LeMat-Bulk describes a relaxed structure of Ho3Er2Ag2. The functional is PBE-GGA.

The space group is C2/m (No. 12) and the conventional cell measures 9.187, 5.303 and 8.230 Å, with angles of 90.00, 111.77 and 90.00 degrees. The inequivalent atoms are Ho at (0.000, 0.000, 0.000), Ho at (0.161, 0.000, 0.482), Er at (0.075, 0.500, 0.726) and Ag at (0.213, 0.500, 0.136).

The value obtained for the energy above the lowest structure with this stoichiometry is 59.0 meV per atom. The calculation puts the formation energy at -0.11 eV/atom.



2.
This record from Alexandria via LeMat-Bulk describes a relaxed structure of NdHoAu. The functional is PBE-GGA.

The space group is P2_1/c (No. 14) and the conventional cell measures 7.321, 6.871 and 6.859 Å, with angles of 90.00, 90.05 and 90.00 degrees. The inequivalent atoms are Nd at (0.122, 0.018, 0.250), Ho at (0.489, 0.750, 0.000) and Au at (0.275, 0.009, 0.750).

The value obtained for the energy above the lowest structure with this stoichiometry is 42.1 meV per atom. The calculation puts the formation energy at -0.56 eV/atom.



3.
This record from Alexandria via LeMat-Bulk describes a relaxed structure of U3TiTl4Te8. The functional is PBE-GGA.

The space group is R-3m (No. 166, hexagonal axes) and the conventional cell measures 8.6034, 8.6034 and 25.1449 Å, with angles of 90.00, 90.00 and 120.00 degrees. The inequivalent atoms are U at (0.0000, 0.5000, 0.0000), Ti at (0.0000, 0.0000, 0.0000), Tl at (0.0000, 0.0000, 0.5000), Tl at (0.0000, 0.5000, 0.5000), Te at (0.0000, 0.0000, 0.2596) and Te at (0.0170, 0.5085, 0.7364).

For the uncorrected formation energy, the calculation gives -519 meV per atom.



4.
This record from Alexandria via LeMat-Bulk describes a relaxed structure of NaZnInSb. The functional is PBE-GGA.

The space group is F-43m (No. 216) and the conventional cell measures 7.433, 7.433 and 7.433 Å, with angles of 90.00, 90.00 and 90.00 degrees. The inequivalent atoms are Na at (0.000, 0.000, 0.000), Zn at (0.250, 0.250, 0.750), In at (0.000, 0.000, 0.500) and Sb at (0.250, 0.250, 0.250).

For the uncorrected formation energy, the calculation gives 6 meV per atom.



no.,E_tot (eV per atom)
1,-4.19
2,-4.77
3,-5.29
4,-2.36